1.
Crystalline Cs2K2RbAu at its relaxed geometry, computed with PBE.

The value obtained for the formation energy is -86 meV per atom. The crystal system is orthorhombic.

Unit cell a=11.0409 b=11.0409 c=11.0409 alpha=108.75 beta=89.59 gamma=133.30
Closest atoms and distances in Å follow each position.
Fractional coordinates of all 12 atoms:
1 Cs 0.1886 0.1109 0.2995  2 Au 3.94, 2 K 4.13-4.25
2 Cs 0.3114 0.6109 0.9223  2 Au 3.94, 2 K 4.13-4.25
3 Cs 0.6886 0.3891 0.0777  2 Au 3.94, 2 K 4.13-4.25
4 Cs 0.8114 0.8891 0.7005  2 Au 3.94, 2 K 4.13-4.25
5 K 0.0678 0.8151 0.8829  2 Au 3.40
6 K 0.4322 0.3151 0.7473  2 Au 3.40
7 K 0.5678 0.6849 0.2527  2 Au 3.40
8 K 0.9322 0.1849 0.1171  2 Au 3.40
9 Rb 0.2500 0.7500 0.5000  2 Rb 4.38, 4 K 4.73
10 Rb 0.7500 0.2500 0.5000  2 Rb 4.38, 4 K 4.73
11 Au 0.2500 0.2500 0.0000  4 K 3.40
12 Au 0.7500 0.7500 0.0000  4 K 3.40

---

2.
Crystalline CoMo2I2 at its relaxed geometry, computed with PBE.

The crystal system is tetragonal. For the energy above the most stable polymorph in this dataset, the calculation gives 0.000 eV per atom. As for the formation energy without anion corrections: 1.069 eV/atom.

Unit cell a=6.7396 b=6.7396 c=4.3781 alpha=90.00 beta=90.00 gamma=90.00
Closest atoms and distances in Å follow each position.
Fractional coordinates of all 10 atoms:
1 Co 0.0000 0.0000 0.0000  4 Mo 2.63
2 Co 0.5000 0.5000 0.0000  4 Mo 2.63
3 Mo 0.1321 0.3679 0.0000  1 Mo 2.52, 2 Co 2.63
4 Mo 0.3679 0.8679 0.0000  1 Mo 2.52, 2 Co 2.63
5 Mo 0.6321 0.1321 0.0000  1 Mo 2.52, 2 Co 2.63
6 Mo 0.8679 0.6321 0.0000  1 Mo 2.52, 2 Co 2.63
7 I 0.1732 0.6732 0.5000  6 Mo 2.87-3.02
8 I 0.3268 0.1732 0.5000  6 Mo 2.87-3.02
9 I 0.6732 0.8268 0.5000  6 Mo 2.87-3.02
10 I 0.8268 0.3268 0.5000  6 Mo 2.87-3.02

---

3.
Crystalline CeTl2As2S6 at its relaxed geometry, computed with PBE.

The crystal system is monoclinic. As for the formation energy without anion corrections: -0.589 eV/atom.

Unit cell a=6.5405 b=6.5405 c=8.5312 alpha=108.77 beta=108.77 gamma=66.72
Closest atoms and distances in Å follow each position.
Fractional coordinates of all 11 atoms:
1 Ce 0.0000 0.0000 0.0000  6 S 2.70-2.79
2 Tl 0.1871 0.1871 0.6329  5 S 3.17-3.41
3 Tl 0.8129 0.8129 0.3671  5 S 3.17-3.41
4 As 0.4259 0.4259 0.2819  3 S 2.24-2.29
5 As 0.5741 0.5741 0.7181  3 S 2.24-2.29
6 S 0.1993 0.6947 0.7328  1 As 2.29
7 S 0.2553 0.2553 0.0291  1 As 2.24
8 S 0.3053 0.8007 0.2672  1 As 2.29
9 S 0.6947 0.1993 0.7328  1 As 2.29
10 S 0.7447 0.7447 0.9709  1 As 2.24
11 S 0.8007 0.3053 0.2672  1 As 2.29

---

4.
Crystalline ThGa12Rh4 at its relaxed geometry, computed with PBE.

The value obtained for the formation energy is -232 meV per atom. The crystal system is cubic.

Unit cell a=7.5946 b=7.5946 c=7.5946 alpha=109.47 beta=109.47 gamma=109.47
Closest atoms and distances in Å follow each position.
Fractional coordinates of all 17 atoms:
1 Th 0.0000 0.0000 0.0000  12 Ga 3.29
2 Ga 0.1587 0.4990 0.3403  2 Rh 2.46
3 Ga 0.1587 0.8184 0.6597  2 Rh 2.46
4 Ga 0.1816 0.3403 0.8413  2 Rh 2.46
5 Ga 0.3403 0.1587 0.4990  2 Rh 2.46
6 Ga 0.3403 0.8413 0.1816  2 Rh 2.46
7 Ga 0.4990 0.3403 0.1587  2 Rh 2.46
8 Ga 0.5010 0.6597 0.8413  2 Rh 2.46
9 Ga 0.6597 0.1587 0.8184  2 Rh 2.46
10 Ga 0.6597 0.8413 0.5010  2 Rh 2.46
11 Ga 0.8184 0.6597 0.1587  2 Rh 2.46
12 Ga 0.8413 0.1816 0.3403  2 Rh 2.46
13 Ga 0.8413 0.5010 0.6597  2 Rh 2.46
14 Rh 0.0000 0.0000 0.5000  6 Ga 2.46
15 Rh 0.0000 0.5000 0.0000  6 Ga 2.46
16 Rh 0.5000 0.0000 0.0000  6 Ga 2.46
17 Rh 0.5000 0.5000 0.5000  6 Ga 2.46